Here is a relaxed BiCl4 crystal from Alexandria via LeMat-Bulk. Energies are from PBE-GGA.

Cell: 5.4286 5.4286 5.4286 Å, 90.00 90.00 90.00°
Site moments in Bohr magnetons follow the coordinates.
Fractional coordinates of all 5 atoms:
1 Cl 0.5000 0.5000 0.0000  0.04
2 Cl 0.0000 0.5000 0.5000  0.04
3 Cl 0.0000 0.0000 0.0000  0.62
4 Cl 0.5000 0.0000 0.5000  0.04
5 Bi 0.5000 0.5000 0.5000  0.00

## Properties
The final energy is -0.09898 Ha/atom. The crystal system is cubic. For the polymorph energy (0 for the lowest one), the calculation gives 306 meV per atom. For the total moment, the calculation gives 0.99 μB per formula unit. The uncorrected formation energy is -42 kJ/mol of atoms. Its space group is No. 221.